Compound: DyPPdO
Source: the Open Quantum Materials Database
Functional: PBE-GGA
Structure: optimized geometry

a = 5.6132 Å, b = 5.6132 Å, c = 4.5055 Å
α = 90.00°, β = 90.00°, γ = 90.00°
Atoms (fractional coordinates):
Dy  0.2500  0.7500  0.0000
Dy  0.7500  0.2500  0.0000
P  0.2500  0.2500  0.0042
P  0.7500  0.7500  0.9958
Pd  0.2500  0.2500  0.5041
Pd  0.7500  0.7500  0.4959
O  0.2500  0.7500  0.5000
O  0.7500  0.2500  0.5000

Properties
Distance to the lowest polymorph of the same formula (meV/atom): 764